Crystalline KScTeN2 at its relaxed geometry, computed with PBE.

a = 4.638 Å, b = 4.638 Å, c = 6.410 Å
α = 90.00°, β = 90.00°, γ = 90.00°
Element x y z (fractional)
Te 0.000 0.000 0.500
Sc 0.500 0.500 0.500
N 0.000 0.500 0.000
N 0.500 0.000 0.000
K 0.000 0.000 0.000

Results
As for the uncorrected formation energy: 1.6747 eV/atom. The density of states at the Fermi level comes out at 2.75 states/eV/f.u. The space group is P4/mmm (123). For the offset from the most stable computed form, the calculation gives 1.334 eV/atom.

***

Crystalline KSc2TlN at its relaxed geometry, computed with PBE.

a = 5.408 Å, b = 6.040 Å, c = 5.408 Å
α = 90.00°, β = 90.00°, γ = 90.00°
Element x y z (fractional)
Tl 0.000 0.000 0.000
K 0.000 0.500 0.000
Sc 0.500 0.000 0.000
Sc 0.000 0.000 0.500
N 0.500 0.500 0.500

Results
As for the uncorrected formation energy: 1.5084 eV/atom. The density of states at the Fermi level comes out at 7.07 states/eV/f.u. The space group is P4/mmm (123).

***

Crystalline K3SeN2 at its relaxed geometry, computed with PBE.

a = 5.427 Å, b = 8.184 Å, c = 8.184 Å
α = 112.61°, β = 90.00°, γ = 90.00°
Element x y z (fractional)
N 0.500 0.935 0.935
N 0.000 0.065 0.065
N 0.000 0.935 0.935
N 0.500 0.065 0.065
K 0.750 0.614 0.784
K 0.750 0.216 0.386
K 0.750 0.184 0.816
K 0.250 0.386 0.216
K 0.250 0.816 0.184
K 0.250 0.784 0.614
Se 0.250 0.339 0.661
Se 0.750 0.661 0.339

Results
As for the uncorrected formation energy: -0.5393 eV/atom. The density of states at the Fermi level comes out at 1.38 states/eV/f.u. The space group is Cmcm (63).

***

Crystalline KSeN3 at its relaxed geometry, computed with PBE.

a = 4.936 Å, b = 4.936 Å, c = 4.936 Å
α = 90.00°, β = 90.00°, γ = 90.00°
Element x y z (fractional)
Se 0.500 0.500 0.500
N 0.500 0.000 0.000
N 0.000 0.500 0.000
N 0.000 0.000 0.500
K 0.000 0.000 0.000

Results
As for the uncorrected formation energy: 3.0867 eV/atom. The density of states at the Fermi level comes out at 11.21 states/eV/f.u. The space group is Pm-3m (221).

***

Crystalline KSeN3 at its relaxed geometry, computed with PBE.

a = 4.031 Å, b = 4.031 Å, c = 4.031 Å
α = 90.00°, β = 90.00°, γ = 90.00°
Element x y z (fractional)
Se 0.000 0.000 0.000
N 0.000 0.000 0.500
N 0.000 0.500 0.000
N 0.500 0.000 0.000
K 0.500 0.500 0.500

Results
As for the uncorrected formation energy: 1.6779 eV/atom. The density of states at the Fermi level comes out at 3.13 states/eV/f.u. The space group is Pm-3m (221).

***

Crystalline K2SeN at its relaxed geometry, computed with PBE.

a = 5.434 Å, b = 5.434 Å, c = 5.434 Å
α = 60.00°, β = 60.00°, γ = 60.00°
Element x y z (fractional)
K 0.750 0.750 0.750
K 0.250 0.250 0.250
Se 0.500 0.500 0.500
N 0.000 0.000 0.000

Results
As for the uncorrected formation energy: 0.3061 eV/atom. The density of states at the Fermi level comes out at 0.00 states/eV/f.u. The space group is Fm-3m (225). For the offset from the most stable computed form, the calculation gives 0.160 eV/atom.

***

Crystalline KSeN2 at its relaxed geometry, computed with PBE.

a = 5.922 Å, b = 5.922 Å, c = 5.790 Å
α = 59.24°, β = 59.24°, γ = 90.00°
Element x y z (fractional)
N 0.375 0.245 0.750
N 0.995 0.625 0.250
N 0.755 0.125 0.250
N 0.875 0.005 0.750
Se 0.000 0.000 0.000
Se 0.750 0.250 0.500
K 0.250 0.750 0.500
K 0.500 0.500 0.000

Results
As for the uncorrected formation energy: 0.7665 eV/atom. The density of states at the Fermi level comes out at 0.67 states/eV/f.u. The space group is I-42d (122).

***

Crystalline K2SeN2 at its relaxed geometry, computed with PBE.

a = 5.640 Å, b = 5.633 Å, c = 9.740 Å
α = 73.20°, β = 73.17°, γ = 59.96°
Element x y z (fractional)
Se 0.250 0.750 0.250
Se 0.750 0.250 0.750
N 0.602 0.939 0.520
N 0.061 0.561 0.980
N 0.939 0.439 0.020
N 0.398 0.061 0.480
K 0.623 0.125 0.125
K 0.377 0.875 0.875
K 0.127 0.625 0.625
K 0.873 0.375 0.375

Results
As for the uncorrected formation energy: -0.6282 eV/atom. The space group is C2/c (15).

***

Crystalline KSeN at its relaxed geometry, computed with PBE.

a = 3.326 Å, b = 6.030 Å, c = 6.824 Å
α = 84.30°, β = 90.00°, γ = 106.01°
Element x y z (fractional)
Se 0.839 0.678 0.838
Se 0.161 0.322 0.162
K 0.886 0.772 0.337
K 0.114 0.228 0.663
N 0.364 0.729 0.688
N 0.636 0.271 0.312

Results
As for the uncorrected formation energy: 0.1852 eV/atom. The density of states at the Fermi level comes out at 0.55 states/eV/f.u. The space group is C2/m (12). For the offset from the most stable computed form, the calculation gives 0.000 eV/atom.

***

Crystalline KSeN2 at its relaxed geometry, computed with PBE.

a = 6.898 Å, b = 6.898 Å, c = 6.898 Å
α = 37.09°, β = 37.09°, γ = 37.09°
Element x y z (fractional)
K 0.500 0.500 0.500
Se 0.000 0.000 0.000
N 0.089 0.089 0.089
N 0.911 0.911 0.911

Results
As for the uncorrected formation energy: 0.9202 eV/atom. The density of states at the Fermi level comes out at 2.95 states/eV/f.u. The space group is R-3m (166).

***

Crystalline K5Se2N2 at its relaxed geometry, computed with PBE.

a = 5.973 Å, b = 5.406 Å, c = 11.172 Å
α = 75.99°, β = 64.21°, γ = 90.01°
Element x y z (fractional)
K 0.211 0.407 0.185
K 0.310 0.770 0.460
K 0.690 0.230 0.540
K 0.789 0.593 0.815
K 0.000 0.000 0.000
Se 0.083 0.163 0.673
Se 0.917 0.837 0.327
N 0.241 0.541 0.918
N 0.759 0.459 0.082

Results
As for the uncorrected formation energy: 0.1103 eV/atom. The density of states at the Fermi level comes out at 0.36 states/eV/f.u. The space group is C2/m (12).

***

Crystalline KSeN at its relaxed geometry, computed with PBE.

a = 4.224 Å, b = 7.804 Å, c = 8.064 Å
α = 65.53°, β = 74.82°, γ = 74.30°
Element x y z (fractional)
N 0.051 0.605 0.469
N 0.851 0.168 0.306
Se 0.992 0.491 0.701
Se 0.805 0.710 0.857
K 0.412 0.886 0.465
K 0.263 0.453 0.198

Results
As for the uncorrected formation energy: 0.5270 eV/atom. The density of states at the Fermi level comes out at 1.38 states/eV/f.u. The space group is Cm (8). For the offset from the most stable computed form, the calculation gives 0.342 eV/atom.

***

Crystalline KSeN2 at its relaxed geometry, computed with PBE.

a = 7.499 Å, b = 7.499 Å, c = 7.499 Å
α = 24.15°, β = 24.15°, γ = 24.15°
Element x y z (fractional)
N 0.884 0.884 0.884
N 0.116 0.116 0.116
K 0.000 0.000 0.000
Se 0.500 0.500 0.500

Results
As for the uncorrected formation energy: 1.1785 eV/atom. The density of states at the Fermi level comes out at 1.61 states/eV/f.u. The space group is R-3m (166).

***

Crystalline K2Se4N at its relaxed geometry, computed with PBE.

a = 6.552 Å, b = 6.552 Å, c = 11.499 Å
α = 89.46°, β = 89.46°, γ = 91.67°
Element x y z (fractional)
N 0.617 0.490 0.766
N 0.490 0.617 0.266
Se 0.556 0.047 0.949
Se 0.504 0.428 0.896
Se 0.943 0.106 0.197
Se 0.106 0.943 0.697
Se 0.911 0.040 0.994
Se 0.428 0.504 0.396
Se 0.040 0.911 0.494
Se 0.047 0.556 0.449
K 0.435 0.035 0.240
K 0.601 0.877 0.667
K 0.877 0.601 0.167
K 0.035 0.435 0.740

Results
As for the uncorrected formation energy: -0.2409 eV/atom. The space group is Cc (9).

***

Crystalline K2SeN at its relaxed geometry, computed with PBE.

a = 11.170 Å, b = 11.170 Å, c = 8.159 Å
α = 46.80°, β = 46.80°, γ = 90.00°
Element x y z (fractional)
Se 0.750 0.250 0.500
Se 0.000 0.000 0.000
K 0.379 0.125 0.250
K 0.375 0.621 0.750
K 0.875 0.629 0.750
K 0.371 0.625 0.250
N 0.500 0.500 0.000
N 0.250 0.750 0.500

Results
As for the uncorrected formation energy: 0.1461 eV/atom. The density of states at the Fermi level comes out at 2.15 states/eV/f.u. The space group is I-42d (122). For the offset from the most stable computed form, the calculation gives 0.000 eV/atom.

***

Crystalline K2Se4N3 at its relaxed geometry, computed with PBE.

a = 9.947 Å, b = 9.947 Å, c = 5.557 Å
α = 90.00°, β = 90.00°, γ = 85.85°
Element x y z (fractional)
K 0.483 0.757 0.000
K 0.757 0.483 0.500
K 0.517 0.243 0.000
K 0.243 0.517 0.500
Se 0.890 0.189 0.000
Se 0.922 0.594 0.000
Se 0.189 0.890 0.500
Se 0.406 0.078 0.500
Se 0.078 0.406 0.000
Se 0.811 0.110 0.500
Se 0.110 0.811 0.000
Se 0.594 0.922 0.500
N 0.227 0.773 0.750
N 0.773 0.227 0.750
N 0.773 0.227 0.250
N 0.500 0.500 0.250
N 0.500 0.500 0.750
N 0.227 0.773 0.250

Results
As for the uncorrected formation energy: 0.5132 eV/atom. The density of states at the Fermi level comes out at 2.37 states/eV/f.u. The space group is Cccm (66).

***

Crystalline KSiSeN2 at its relaxed geometry, computed with PBE.

a = 4.731 Å, b = 4.731 Å, c = 6.248 Å
α = 90.00°, β = 90.00°, γ = 90.00°
Element x y z (fractional)
K 0.000 0.000 0.000
Si 0.500 0.500 0.500
N 0.000 0.500 0.000
N 0.500 0.000 0.000
Se 0.000 0.000 0.500

Results
As for the uncorrected formation energy: 2.3137 eV/atom. The density of states at the Fermi level comes out at 1.46 states/eV/f.u. The space group is P4/mmm (123). For the offset from the most stable computed form, the calculation gives 1.659 eV/atom.

***

Crystalline KSiSeN2 at its relaxed geometry, computed with PBE.

a = 3.900 Å, b = 3.900 Å, c = 5.034 Å
α = 90.00°, β = 90.00°, γ = 90.00°
Element x y z (fractional)
N 0.500 0.000 0.000
N 0.000 0.500 0.000
Si 0.000 0.000 0.000
Se 0.000 0.000 0.500
K 0.500 0.500 0.500

Results
As for the uncorrected formation energy: 0.6543 eV/atom. The density of states at the Fermi level comes out at 2.97 states/eV/f.u. The space group is P4/mmm (123). For the offset from the most stable computed form, the calculation gives 0.000 eV/atom.

***

Crystalline KSiSe2N at its relaxed geometry, computed with PBE.

a = 5.748 Å, b = 5.748 Å, c = 4.776 Å
α = 90.00°, β = 90.00°, γ = 90.00°
Element x y z (fractional)
K 0.000 0.000 0.000
N 0.000 0.000 0.500
Se 0.000 0.500 0.000
Se 0.500 0.000 0.000
Si 0.500 0.500 0.500

Results
As for the uncorrected formation energy: 1.7585 eV/atom. The density of states at the Fermi level comes out at 3.84 states/eV/f.u. The space group is P4/mmm (123). For the offset from the most stable computed form, the calculation gives 1.906 eV/atom.

***

Crystalline KSiSe2N at its relaxed geometry, computed with PBE.

a = 5.649 Å, b = 5.649 Å, c = 3.237 Å
α = 90.00°, β = 90.00°, γ = 90.00°
Element x y z (fractional)
Se 0.000 0.500 0.000
Se 0.500 0.000 0.000
N 0.000 0.000 0.500
K 0.500 0.500 0.500
Si 0.000 0.000 0.000

Results
As for the uncorrected formation energy: -0.1477 eV/atom. The density of states at the Fermi level comes out at 2.76 states/eV/f.u. The space group is P4/mmm (123). For the offset from the most stable computed form, the calculation gives 0.000 eV/atom.

***

Crystalline KSnSe2N at its relaxed geometry, computed with PBE.

a = 5.770 Å, b = 5.770 Å, c = 4.816 Å
α = 90.00°, β = 90.00°, γ = 90.00°
Element x y z (fractional)
N 0.000 0.000 0.500
Sn 0.500 0.500 0.500
K 0.000 0.000 0.000
Se 0.000 0.500 0.000
Se 0.500 0.000 0.000

Results
As for the uncorrected formation energy: 1.2262 eV/atom. The density of states at the Fermi level comes out at 3.75 states/eV/f.u. The space group is P4/mmm (123). For the offset from the most stable computed form, the calculation gives 1.023 eV/atom.

***

Crystalline KSnSe2N at its relaxed geometry, computed with PBE.

a = 5.503 Å, b = 5.503 Å, c = 4.261 Å
α = 90.00°, β = 90.00°, γ = 90.00°
Element x y z (fractional)
Se 0.000 0.500 0.000
Se 0.500 0.000 0.000
K 0.500 0.500 0.500
N 0.000 0.000 0.500
Sn 0.000 0.000 0.000

Results
As for the uncorrected formation energy: 0.2028 eV/atom. The density of states at the Fermi level comes out at 3.24 states/eV/f.u. The space group is P4/mmm (123). For the offset from the most stable computed form, the calculation gives 0.000 eV/atom.

***

Crystalline KSrSe2N at its relaxed geometry, computed with PBE.

a = 5.983 Å, b = 5.983 Å, c = 5.084 Å
α = 90.00°, β = 90.00°, γ = 90.00°
Element x y z (fractional)
N 0.000 0.000 0.500
Sr 0.000 0.000 0.000
K 0.500 0.500 0.500
Se 0.500 0.000 0.000
Se 0.000 0.500 0.000

Results
As for the uncorrected formation energy: 0.0720 eV/atom. The density of states at the Fermi level comes out at 4.87 states/eV/f.u. The space group is P4/mmm (123). For the offset from the most stable computed form, the calculation gives 0.000 eV/atom.

***

Crystalline KSrSe2N at its relaxed geometry, computed with PBE.

a = 5.784 Å, b = 5.784 Å, c = 4.875 Å
α = 90.00°, β = 90.00°, γ = 90.00°
Element x y z (fractional)
Se 0.500 0.000 0.000
Se 0.000 0.500 0.000
K 0.000 0.000 0.000
N 0.000 0.000 0.500
Sr 0.500 0.500 0.500

Results
As for the uncorrected formation energy: 0.4230 eV/atom. The density of states at the Fermi level comes out at 3.36 states/eV/f.u. The space group is P4/mmm (123). For the offset from the most stable computed form, the calculation gives 0.351 eV/atom.

***

Crystalline KSrSeN2 at its relaxed geometry, computed with PBE.

a = 5.084 Å, b = 5.084 Å, c = 6.095 Å
α = 90.00°, β = 90.00°, γ = 90.00°
Element x y z (fractional)
Sr 0.000 0.000 0.000
Se 0.000 0.000 0.500
K 0.500 0.500 0.500
N 0.000 0.500 0.000
N 0.500 0.000 0.000

Results
As for the uncorrected formation energy: 0.7413 eV/atom. The density of states at the Fermi level comes out at 3.84 states/eV/f.u. The space group is P4/mmm (123). For the offset from the most stable computed form, the calculation gives 0.000 eV/atom.

***

Crystalline KSrSeN2 at its relaxed geometry, computed with PBE.

a = 4.867 Å, b = 4.867 Å, c = 6.115 Å
α = 90.00°, β = 90.00°, γ = 90.00°
Element x y z (fractional)
N 0.500 0.000 0.000
N 0.000 0.500 0.000
Sr 0.500 0.500 0.500
K 0.000 0.000 0.000
Se 0.000 0.000 0.500

Results
As for the uncorrected formation energy: 1.0726 eV/atom. The density of states at the Fermi level comes out at 1.83 states/eV/f.u. The space group is P4/mmm (123). For the offset from the most stable computed form, the calculation gives 0.331 eV/atom.